1.
## InSnSb2 (GGA-PBE)

Data for crystalline InSnSb2 at its relaxed geometry.

Results
energy relative to the lowest polymorph listed for this composition: 0.106 eV per atom

abc: 3.7883 3.7883 7.6654
angles: 90.00 90.00 90.00
Space group P4/mmm (No. 123)
Asymmetric unit:
In 0.0000 0.0000 0.0000 x1
Sn 0.0000 0.0000 0.5000 x1
Sb 0.5000 0.5000 0.2569 x2

=====

2.
## In2SnSbTe4 (GGA-PBE)

Data for crystalline In2SnSbTe4 at its relaxed geometry.

Results
raw total energy: -3.502 eV/atom

abc: 7.7711 4.4718 7.8417
angles: 90.00 109.24 90.00
Space group P2/m (No. 10)
Asymmetric unit:
In 0.0000 0.0000 0.0000 x1
In 0.5000 0.5000 0.0000 x1
Sn 0.0000 0.5000 0.5000 x1
Sb 0.5000 0.0000 0.5000 x1
Te 0.2528 0.0000 0.7459 x2
Te 0.2563 0.5000 0.2579 x2

=====

3.
## InSn2SbTe5 (GGA-PBE)

Data for crystalline InSn2SbTe5 at its relaxed geometry.

Results
raw total energy: -3.611 eV/atom

abc: 4.3629 19.6175 14.4584
angles: 90.00 90.00 90.00
Space group Cmc2_1 (No. 36)
Asymmetric unit:
In 0.0000 0.0514 0.0000 x4
Sn 0.0000 0.3626 0.2319 x4
Sn 0.0000 0.3742 0.8839 x4
Sb 0.0000 0.2999 0.5971 x4
Te 0.0000 0.0218 0.3352 x4
Te 0.0000 0.1477 0.5873 x4
Te 0.0000 0.1934 0.9496 x4
Te 0.0000 0.2075 0.2527 x4
Te 0.0000 0.4643 0.6227 x4

=====

4.
## InSnSb2Te (GGA-PBE)

Data for crystalline InSnSb2Te at its relaxed geometry.

Results
energy relative to the lowest polymorph listed for this composition: 0.000 eV per atom

abc: 6.0591 6.0591 6.1637
angles: 90.00 90.00 90.00
Space group P4/mmm (No. 123)
Asymmetric unit:
In 0.0000 0.0000 0.0000 x1
Sn 0.5000 0.5000 0.5000 x1
Sb 0.0000 0.5000 0.5000 x2
Te 0.5000 0.5000 0.0000 x1

=====

| no. | ρ (g/cm³) | V (Å³ per cell) |
| --- | --- | --- |
| 1 | 7.20 | 110.0 |
| 2 | 6.33 | 257.3 |
| 3 | 5.97 | 1237.5 |
| 4 | 4.44 | 226.3 |